Material: FeS2O
Method: DFT, GGA+U
State: optimized geometry Values from VASP.

Geometry as Quantum ESPRESSO input:
```
&SYSTEM
  ibrav = 0, nat = 4, ntyp = 3
/
ATOMIC_SPECIES
Fe 55.84 Fe.upf
S 32.06 S.upf
O 16.00 O.upf
ATOMIC_POSITIONS angstrom
Fe 0.000 0.000 0.000
S 0.000 0.000 6.435
S 0.000 0.000 9.733
O 0.000 0.000 8.084
CELL_PARAMETERS angstrom
1.776 1.026 5.389
-1.776 1.026 5.389
0.000 -2.051 5.389
```

density of states at the Fermi level = 0.0 states/eV/f.u.
uncorrected energy = -4.40 eV/atom
symmetry = No. 166
total magnetic moment = 0.000 Bohr magnetons per cell